No. 1
An optimized crystal structure of BPd3Au. Source: Alexandria via LeMat-Bulk, functional GGA-PBE. Values from VASP.

Results
Energy above the most stable polymorph in this dataset   0.026 eV per atom
ΔE_f   -0.13 eV/atom
Total DFT energy (no corrections)   -26.17 eV/f.u.
Theoretical density   11.9 g cm⁻³

Quantum ESPRESSO input file:
```
&SYSTEM
  ibrav = 0, nat = 20, ntyp = 3
/
ATOMIC_SPECIES
B 10.81 B.upf
Pd 106.42 Pd.upf
Au 196.97 Au.upf
ATOMIC_POSITIONS angstrom
B 1.666 1.268 1.880
B 1.265 -1.268 4.738
B 8.717 1.268 0.977
B 8.315 -1.268 3.835
Pd 3.466 2.413 2.089
Pd 3.668 2.212 5.156
Pd 2.663 0.283 0.229
Pd 2.261 -0.283 3.087
Pd 5.912 2.212 3.417
Pd 6.917 2.413 0.769
Pd 3.064 -2.413 4.946
Pd 4.070 -2.212 2.299
Pd 7.720 0.283 2.628
Pd 7.319 -0.283 5.486
Pd 6.313 -2.212 0.559
Pd 6.516 -2.413 3.627
Au 5.192 4.714 1.429
Au 5.192 0.220 1.429
Au 4.790 -0.220 4.287
Au 4.790 -4.714 4.287
CELL_PARAMETERS angstrom
5.392 -4.776 0.000
5.392 4.776 0.000
-0.803 0.000 5.715
```

No. 2
An optimized crystal structure of SrInAgI4. Source: Alexandria via LeMat-Bulk, functional GGA-PBE. Values from VASP.

Results
Total DFT energy (no corrections)   -19.76 eV/f.u.
ΔE_f (raw)   -0.899 eV per atom
Theoretical density   4.7 g cm⁻³

Quantum ESPRESSO input file:
```
&SYSTEM
  ibrav = 0, nat = 14, ntyp = 4
/
ATOMIC_SPECIES
Sr 87.62 Sr.upf
In 114.82 In.upf
Ag 107.87 Ag.upf
I 126.90 I.upf
ATOMIC_POSITIONS angstrom
Sr 1.520 2.104 0.507
Sr 3.414 6.311 8.467
In 0.175 2.104 4.939
In 4.758 6.311 4.035
Ag -0.426 6.311 7.321
Ag 5.360 2.104 1.653
I -0.546 4.284 2.063
I -0.546 8.338 2.063
I 1.808 6.311 5.596
I 3.320 6.311 1.036
I 1.613 2.104 7.938
I 3.126 2.104 3.377
I 5.479 0.077 6.910
I 5.479 4.131 6.910
CELL_PARAMETERS angstrom
7.727 0.000 0.000
0.000 8.415 0.000
-2.794 0.000 8.974
```

No. 3
An optimized crystal structure of LaPmNd2Y2. Source: Alexandria via LeMat-Bulk, functional GGA-PBE. Values from VASP.

Results
ΔE_f   0.26 eV/atom
Total DFT energy (no corrections)   -30.56 eV/f.u.
Theoretical density   5.9 g cm⁻³

Quantum ESPRESSO input file:
```
&SYSTEM
  ibrav = 0, nat = 12, ntyp = 4
/
ATOMIC_SPECIES
La 138.91 La.upf
Pm 145.00 Pm.upf
Nd 144.24 Nd.upf
Y 88.91 Y.upf
ATOMIC_POSITIONS angstrom
La 0.000 0.000 0.000
La 3.346 9.180 1.717
Pm 0.000 9.180 0.000
Pm 3.346 0.000 1.717
Nd 1.475 3.411 0.000
Nd 1.872 12.590 1.717
Nd 4.821 5.769 1.717
Nd 5.218 14.948 0.000
Y 1.453 6.451 1.717
Y 1.893 15.631 0.000
Y 4.800 2.729 0.000
Y 5.240 11.908 1.717
CELL_PARAMETERS angstrom
6.693 0.000 0.000
0.000 18.359 0.000
0.000 0.000 3.433
```

No. 4
An optimized crystal structure of AcPm3Pr12. Source: Alexandria via LeMat-Bulk, functional GGA-PBE. Values from VASP.

Results
ΔE_f   0.01 eV/atom
Total DFT energy (no corrections)   -75.50 eV/f.u.
Theoretical density   6.7 g cm⁻³

Quantum ESPRESSO input file:
```
&SYSTEM
  ibrav = 0, nat = 16, ntyp = 3
/
ATOMIC_SPECIES
Ac 227.00 Ac.upf
Pm 145.00 Pm.upf
Pr 140.91 Pr.upf
ATOMIC_POSITIONS angstrom
Ac 0.000 0.000 0.000
Pm 0.000 0.000 5.308
Pm 0.000 0.000 10.511
Pm 0.000 0.000 15.715
Pr 0.000 2.629 2.719
Pr 0.000 2.629 7.911
Pr 0.000 2.629 13.112
Pr 0.000 2.629 18.303
Pr 2.629 0.000 2.719
Pr 2.629 0.000 7.911
Pr 2.629 0.000 13.112
Pr 2.629 0.000 18.303
Pr 2.629 2.629 0.000
Pr 2.629 2.629 5.328
Pr 2.629 2.629 10.511
Pr 2.629 2.629 15.695
CELL_PARAMETERS angstrom
5.259 0.000 0.000
0.000 5.259 0.000
0.000 0.000 21.023
```

No. 5
An optimized crystal structure of In2WSe. Source: Alexandria via LeMat-Bulk, functional GGA-PBE. Values from VASP.

Results
Total DFT energy (no corrections)   -18.93 eV/f.u.
ΔE_f (raw)   0.745 eV per atom
Theoretical density   9.9 g cm⁻³

Quantum ESPRESSO input file:
```
&SYSTEM
  ibrav = 0, nat = 4, ntyp = 3
/
ATOMIC_SPECIES
In 114.82 In.upf
W 183.84 W.upf
Se 78.96 Se.upf
ATOMIC_POSITIONS angstrom
In 0.000 0.000 0.000
In 0.000 2.188 2.154
W 0.000 0.000 4.308
Se 2.188 0.000 2.154
CELL_PARAMETERS angstrom
-2.188 2.188 4.308
2.188 -2.188 4.308
2.188 2.188 -4.308
```

No. 6
An optimized crystal structure of CaZnCuSi2. Source: Alexandria via LeMat-Bulk, functional GGA-PBE. Values from VASP.

Results
Total DFT energy (no corrections)   -20.06 eV/f.u.
ΔE_f (raw)   -0.369 eV per atom
Theoretical density   4.4 g cm⁻³

Quantum ESPRESSO input file:
```
&SYSTEM
  ibrav = 0, nat = 5, ntyp = 4
/
ATOMIC_SPECIES
Ca 40.08 Ca.upf
Zn 65.41 Zn.upf
Cu 63.55 Cu.upf
Si 28.09 Si.upf
ATOMIC_POSITIONS angstrom
Ca 0.000 0.000 0.000
Zn 0.000 2.048 2.558
Cu 2.048 0.000 2.558
Si 0.000 0.000 3.939
Si 0.000 0.000 6.292
CELL_PARAMETERS angstrom
-2.048 2.048 5.115
2.048 -2.048 5.115
2.048 2.048 -5.115
```

No. 7
An optimized crystal structure of CsTbBe2Cl8. Source: Alexandria via LeMat-Bulk, functional GGA-PBE. Values from VASP.

Results
Total DFT energy (no corrections)   -49.45 eV/f.u.
ΔE_f (raw)   -1.812 eV per atom
Theoretical density   2.8 g cm⁻³

Quantum ESPRESSO input file:
```
&SYSTEM
  ibrav = 0, nat = 12, ntyp = 4
/
ATOMIC_SPECIES
Cs 132.91 Cs.upf
Tb 158.93 Tb.upf
Be 9.01 Be.upf
Cl 35.45 Cl.upf
ATOMIC_POSITIONS angstrom
Cs 0.000 0.000 0.000
Tb 0.000 0.000 15.336
Be 0.000 0.000 7.421
Be 0.000 0.000 23.250
Cl -1.196 -1.794 13.746
Cl -2.152 0.139 16.925
Cl 0.000 0.000 9.374
Cl -0.955 1.933 13.746
Cl 0.955 -1.933 16.925
Cl 0.000 0.000 21.297
Cl 2.152 -0.139 13.746
Cl 1.196 1.794 16.925
CELL_PARAMETERS angstrom
3.139 1.812 10.224
-3.139 1.812 10.224
0.000 -3.625 10.224
```

No. 8
An optimized crystal structure of PrDyTmHg. Source: Alexandria via LeMat-Bulk, functional GGA-PBE. Values from VASP.

Results
Energy above the most stable polymorph in this dataset   0.167 eV per atom
ΔE_f   -0.07 eV/atom
Total DFT energy (no corrections)   -14.42 eV/f.u.
Theoretical density   9.7 g cm⁻³

Quantum ESPRESSO input file:
```
&SYSTEM
  ibrav = 0, nat = 4, ntyp = 4
/
ATOMIC_SPECIES
Pr 140.91 Pr.upf
Dy 162.50 Dy.upf
Tm 168.93 Tm.upf
Hg 200.59 Hg.upf
ATOMIC_POSITIONS angstrom
Pr 0.000 0.000 0.000
Dy 3.864 3.864 3.864
Tm 5.796 5.796 5.796
Hg 1.932 1.932 1.932
CELL_PARAMETERS angstrom
0.000 3.864 3.864
3.864 0.000 3.864
3.864 3.864 0.000
```